Below is PuHfTe4 after structural relaxation, with properties calculated at the PBE-GGA level.

Geometry as extended XYZ:
```
12
Lattice="7.349 0.000 -0.332 0.000 7.361 0.000 -0.463 0.000 7.318" Properties=species:S:1:pos:R:3 pbc="T T T"
Pu 0.000 0.000 0.000
Te 0.477 2.643 6.172
Te 4.152 1.038 6.006
Te 6.409 4.719 0.814
Te 5.872 1.166 2.381
Hf 3.443 0.000 3.493
Te 4.689 4.847 4.440
Pu 3.675 3.681 -0.166
Te 2.197 2.514 2.546
Te 2.735 6.323 0.980
Te 1.015 6.195 4.606
Hf -0.231 3.681 3.659
```

Summary:
ΔE_f (raw) (kJ/mol of formula units): -351
DFT total energy (eV/atom): -6.7484